Entry 1:
Material: MgCuAg2
Method: DFT, PBE
State: relaxed

The space group is F-43m (No. 216) and the conventional cell measures 6.457, 6.457 and 6.457 Å, with angles of 90.00, 90.00 and 90.00 degrees. The distinct sites, in fractional coordinates, are Mg at (0.000, 0.000, 0.000), Cu at (0.250, 0.250, 0.750), Ag at (0.000, 0.000, 0.500) and Ag at (0.250, 0.250, 0.250).

The formation energy is -1.248 kcal/mol of atoms. The calculated volume is 269 Å³/cell.

***

Entry 2:
Material: MgCu2Ag
Method: DFT, PBE
State: relaxed

The space group is I4/mmm (No. 139) and the conventional cell measures 3.923, 3.923 and 7.805 Å, with angles of 90.00, 90.00 and 90.00 degrees. The distinct sites, in fractional coordinates, are Mg at (0.000, 0.000, 0.000), Cu at (0.000, 0.500, 0.250) and Ag at (0.000, 0.000, 0.500).

The formation energy is -1.107 kcal/mol of atoms. The calculated volume is 120 Å³/cell.

***

Entry 3:
Material: MgCuAg2
Method: DFT, PBE
State: relaxed

The space group is I-42d (No. 122) and the conventional cell measures 7.278, 7.278 and 5.518 Å, with angles of 90.00, 90.00 and 90.00 degrees. The distinct sites, in fractional coordinates, are Mg at (0.000, 0.000, 0.000), Cu at (0.000, 0.000, 0.500) and Ag at (0.228, 0.250, 0.625).

The formation energy is 3.972 kcal/mol of atoms. The calculated volume is 292 Å³/cell.

***

Entry 4:
Material: MgCu2Ag
Method: DFT, PBE
State: relaxed

The space group is Pm (No. 6) and the conventional cell measures 2.908, 4.147 and 5.325 Å, with angles of 90.00, 105.76 and 90.00 degrees. The distinct sites, in fractional coordinates, are Mg at (0.000, 0.000, 0.000), Cu at (0.262, 0.000, 0.533), Cu at (0.396, 0.500, 0.787) and Ag at (0.657, 0.500, 0.316).

The formation energy is -0.173 kcal/mol of atoms. The calculated volume is 62 Å³/cell.